VASP calculation (PBE) on a relaxed Tb2SmScBi4 crystal.

Total magnetization in Bohr magnetons per cell: 0.00
E_form in eV/atom: -0.819
Total DFT energy (no corrections) in eV per atom: -5.30
Density of states at the Fermi level in states/eV/f.u.: 1.4

```
data_Tb2SmScBi4
_chemical_formula_sum 'Tb2 Sm1 Sc1 Bi4'
_symmetry_space_group_name_H-M 'P 1'
_symmetry_Int_Tables_number 1
_cell_length_a 4.462
_cell_length_b 7.720
_cell_length_c 7.725
_cell_angle_alpha 109.48
_cell_angle_beta 90.00
_cell_angle_gamma 90.00
loop_
_symmetry_equiv_pos_as_xyz
'x,y,z'
loop_
_atom_site_label
_atom_site_type_symbol
_atom_site_fract_x
_atom_site_fract_y
_atom_site_fract_z
Sc1 Sc 0.500 0.500 0.000
Bi1 Bi 0.500 0.258 0.248
Sm1 Sm 0.000 0.000 0.000
Bi2 Bi 0.000 0.262 0.759
Bi3 Bi 0.500 0.742 0.752
Tb1 Tb 0.000 0.500 0.500
Tb2 Tb 0.500 0.000 0.500
Bi4 Bi 0.000 0.738 0.241
```